Entry 1:
# CdReO2 | Alexandria | PBE | relaxed
data_CdReO2
_chemical_formula_sum 'Cd2 Re2 O4'
_cell_length_a 5.913
_cell_length_b 5.913
_cell_length_c 6.260
_cell_angle_alpha 61.82
_cell_angle_beta 61.82
_cell_angle_gamma 90.00
_symmetry_space_group_name_H-M 'P 1'
_symmetry_Int_Tables_number 1
loop_
_symmetry_equiv_pos_as_xyz
'x,y,z'
loop_
_atom_site_label
_atom_site_type_symbol
_atom_site_fract_x
_atom_site_fract_y
_atom_site_fract_z
O1 O 0.875 0.125 0.750
Re1 Re 0.000 0.000 0.000
O2 O 0.375 0.125 0.750
O3 O 0.875 0.625 0.250
Cd1 Cd 0.250 0.750 0.500
O4 O 0.875 0.125 0.250
Re2 Re 0.750 0.250 0.500
Cd2 Cd 0.500 0.500 0.000
# Final energy in eV per atom: -6.290
# Symmetry: I4_1/amd
# ΔE_f (raw) in eV per atom: -0.47
# M_tot in μB/f.u.: 0.00

---

Entry 2:
# CsK3Rb4F8 | Alexandria | PBE | relaxed
data_CsK3Rb4F8
_chemical_formula_sum 'Cs1 K3 Rb4 F8'
_cell_length_a 8.021
_cell_length_b 8.019
_cell_length_c 8.022
_cell_angle_alpha 120.03
_cell_angle_beta 120.00
_cell_angle_gamma 90.00
_symmetry_space_group_name_H-M 'P 1'
_symmetry_Int_Tables_number 1
loop_
_symmetry_equiv_pos_as_xyz
'x,y,z'
loop_
_atom_site_label
_atom_site_type_symbol
_atom_site_fract_x
_atom_site_fract_y
_atom_site_fract_z
F1 F 0.255 0.746 0.991
F2 F 0.264 0.254 0.009
K1 K 0.500 0.500 0.500
Rb1 Rb 0.000 0.000 0.000
F3 F 0.255 0.746 0.510
F4 F 0.746 0.739 0.492
Rb2 Rb 0.000 0.000 0.500
F5 F 0.745 0.254 0.009
F6 F 0.736 0.746 0.991
Cs1 Cs 0.000 0.500 0.000
F7 F 0.254 0.261 0.508
K2 K 0.000 0.500 0.500
F8 F 0.745 0.254 0.490
K3 K 0.500 0.500 0.000
Rb3 Rb 0.500 0.000 0.500
Rb4 Rb 0.500 0.000 0.000
# Final energy in eV per atom: -4.111
# Symmetry: R-3m
# ΔE_f (raw) in eV per atom: -2.67
# M_tot in μB/f.u.: 0.34

---

Entry 3:
# PmNd2 | Alexandria | PBE | relaxed
data_PmNd2
_chemical_formula_sum 'Pm2 Nd4'
_cell_length_a 6.731
_cell_length_b 6.731
_cell_length_c 6.731
_cell_angle_alpha 60.00
_cell_angle_beta 60.00
_cell_angle_gamma 60.00
_symmetry_space_group_name_H-M 'P 1'
_symmetry_Int_Tables_number 1
loop_
_symmetry_equiv_pos_as_xyz
'x,y,z'
loop_
_atom_site_label
_atom_site_type_symbol
_atom_site_fract_x
_atom_site_fract_y
_atom_site_fract_z
Nd1 Nd 0.625 0.625 0.625
Nd2 Nd 0.125 0.625 0.625
Nd3 Nd 0.625 0.125 0.625
Pm1 Pm 0.000 0.000 0.000
Pm2 Pm 0.250 0.250 0.250
Nd4 Nd 0.625 0.625 0.125
# Final energy in eV per atom: -4.509
# Formation energy from the elements in kcal/mol of atoms: 5.84
# Symmetry: Fd-3m
# Polymorph energy (0 for the lowest one) in kJ per mole of atoms: 23.1
# M_tot in μB/f.u.: 0.00

---

Look up the final energy of the second one.
-4.111 eV per atom

---

Which of these has the lowest final energy?
CdReO2

---

What is the formula in the first record?
CdReO2

---

The lowest final energy belongs to which entry?
CdReO2